Material: FeIrAu
Method: DFT, PBE
State: relaxed

a = 4.1632 Å, b = 4.1632 Å, c = 4.1632 Å
α = 60.00°, β = 60.00°, γ = 60.00°
With the nearest neighbours (Å) after each atom.
Sites, in units of the cell vectors:
Ir (0.0000, 0.0000, 0.0000)  4 Fe 2.55
Fe (0.7500, 0.7500, 0.7500)  4 Ir 2.55, 4 Au 2.55
Au (0.5000, 0.5000, 0.5000)  4 Fe 2.55

Properties
Formation energy ... 0.43 eV per atom
Volume ... 17.01 A^3/atom
Symmetry ... No. 216